Here is La8Hg2Pd after structural relaxation from Alexandria via LeMat-Bulk. Energies are from PBE-GGA.

The structure in CIF format:
```
data_La8Hg2Pd
_chemical_formula_sum 'La8 Hg2 Pd1'
_cell_length_a 10.054
_cell_length_b 10.054
_cell_length_c 7.143
_cell_angle_alpha 107.88
_cell_angle_beta 107.88
_cell_angle_gamma 30.78
_symmetry_space_group_name_H-M 'P 1'
_symmetry_Int_Tables_number 1
loop_
_symmetry_equiv_pos_as_xyz
'x,y,z'
loop_
_atom_site_label
_atom_site_type_symbol
_atom_site_fract_x
_atom_site_fract_y
_atom_site_fract_z
La1 La 0.015 0.015 0.284
La2 La 0.203 0.203 0.819
La3 La 0.340 0.340 0.505
La4 La 0.413 0.413 0.044
La5 La 0.587 0.587 0.956
La6 La 0.660 0.660 0.495
La7 La 0.797 0.797 0.181
La8 La 0.985 0.985 0.716
Hg1 Hg 0.173 0.173 0.231
Hg2 Hg 0.827 0.827 0.769
Pd1 Pd 0.500 0.500 0.500
```

Results
- energy of formation (eV per atom) = -0.3094
- space-group type = No. 12